1) A plane-wave DFT calculation with GGA-PBE was carried out for a relaxed TcMo2HPd crystal.

Computed properties:
**Calculated density**: 10.5 g cm⁻³
**SG**: P4/mmm, No. 123

a b c (Å): 3.995 3.995 3.945
angles (deg): 90.00 90.00 90.00
Fractional coordinates of all 5 atoms:
1 H 0.000 0.000 0.000
2 Mo 0.000 0.500 0.000
3 Mo 0.500 0.000 0.000
4 Tc 0.000 0.000 0.500
5 Pd 0.500 0.500 0.500



2) A plane-wave DFT calculation with GGA-PBE was carried out for a relaxed TcMo2HPd crystal.

Computed properties:
**Calculated density**: 10.5 g cm⁻³
**SG**: P4/mmm, No. 123

a b c (Å): 4.003 4.003 3.934
angles (deg): 90.00 90.00 90.00
Fractional coordinates of all 5 atoms:
1 H 0.000 0.000 0.000
2 Mo 0.000 0.500 0.000
3 Mo 0.500 0.000 0.000
4 Tc 0.500 0.500 0.500
5 Pd 0.000 0.000 0.500



Stability summary: most stable 1), least stable 2).



1) A plane-wave DFT calculation with GGA-PBE was carried out for a relaxed V2MoHPd crystal.

Computed properties:
**Calculated density**: 8.4 g cm⁻³
**SG**: P4/mmm, No. 123

a b c (Å): 3.989 3.989 3.778
angles (deg): 90.00 90.00 90.00
Fractional coordinates of all 5 atoms:
1 H 0.000 0.000 0.000
2 Mo 0.000 0.000 0.500
3 Pd 0.500 0.500 0.500
4 V 0.000 0.500 0.000
5 V 0.500 0.000 0.000



2) A plane-wave DFT calculation with GGA-PBE was carried out for a relaxed V2MoHPd crystal.

Computed properties:
**Calculated density**: 5.1 g cm⁻³
**SG**: P4/mmm, No. 123

a b c (Å): 4.506 4.904 4.506
angles (deg): 90.00 90.00 90.00
Site moments in Bohr magnetons follow the coordinates.
Fractional coordinates of all 5 atoms:
1 H 0.500 0.500 0.500  0.04
2 Mo 0.000 0.000 0.000  0.09
3 Pd 0.000 0.500 0.000  0.03
4 V 0.000 0.000 0.500  -0.18
5 V 0.500 0.000 0.000  -0.29



3) A plane-wave DFT calculation with GGA-PBE was carried out for a relaxed V2MoHPd crystal.

Computed properties:
**Calculated density**: 8.4 g cm⁻³
**SG**: P4/mmm, No. 123

a b c (Å): 4.112 4.112 3.563
angles (deg): 90.00 90.00 90.00
Site moments in Bohr magnetons follow the coordinates.
Fractional coordinates of all 5 atoms:
1 H 0.000 0.000 0.000  0.00
2 Mo 0.500 0.500 0.500  -0.04
3 Pd 0.000 0.000 0.500  0.02
4 V 0.000 0.500 0.000  0.14
5 V 0.500 0.000 0.000  0.14



Stability summary: most stable 1), least stable 2).



1) A plane-wave DFT calculation with GGA-PBE was carried out for a relaxed Mo3HPt crystal.

Computed properties:
**Calculated density**: 10.9 g cm⁻³
**SG**: Fd-3m, No. 227

a b c (Å): 7.470 7.470 7.470
angles (deg): 60.00 60.00 60.00
Fractional coordinates of all 20 atoms:
1 H 0.125 0.125 0.125
2 H 0.125 0.625 0.125
3 H 0.625 0.125 0.125
4 H 0.125 0.125 0.625
5 Mo 0.811 0.189 0.189
6 Mo 0.061 0.439 0.439
7 Mo 0.439 0.439 0.061
8 Mo 0.439 0.061 0.061
9 Mo 0.061 0.439 0.061
10 Mo 0.811 0.189 0.811
11 Mo 0.439 0.061 0.439
12 Mo 0.061 0.061 0.439
13 Mo 0.189 0.811 0.189
14 Mo 0.189 0.811 0.811
15 Mo 0.189 0.189 0.811
16 Mo 0.811 0.811 0.189
17 Pt 0.625 0.625 0.625
18 Pt 0.625 0.125 0.625
19 Pt 0.125 0.625 0.625
20 Pt 0.625 0.625 0.125



2) A plane-wave DFT calculation with GGA-PBE was carried out for a relaxed Mo3HPt crystal.

Computed properties:
**Calculated density**: 12.1 g cm⁻³
**SG**: P2_1/m, No. 11

a b c (Å): 4.598 5.705 5.048
angles (deg): 90.00 90.05 90.00
Fractional coordinates of all 10 atoms:
1 H 0.891 0.250 0.351
2 H 0.109 0.750 0.649
3 Mo 0.750 0.998 0.153
4 Mo 0.250 0.002 0.847
5 Mo 0.750 0.502 0.153
6 Mo 0.250 0.498 0.847
7 Mo 0.286 0.250 0.321
8 Mo 0.714 0.750 0.679
9 Pt 0.746 0.250 0.688
10 Pt 0.254 0.750 0.312



Stability summary: most stable 2), least stable 1).



1) A plane-wave DFT calculation with GGA-PBE was carried out for a relaxed MoHPt crystal.

Computed properties:
**Calculated density**: 14.1 g cm⁻³
**SG**: Amm2, No. 38

a b c (Å): 2.726 2.773 9.088
angles (deg): 90.00 90.00 90.00
Fractional coordinates of all 6 atoms:
1 Mo 0.000 0.000 0.719
2 Mo 0.000 0.500 0.219
3 H 0.500 0.000 0.138
4 H 0.500 0.500 0.638
5 Pt 0.500 0.000 0.437
6 Pt 0.500 0.500 0.937



2) A plane-wave DFT calculation with GGA-PBE was carried out for a relaxed MoHPt crystal.

Computed properties:
**Calculated density**: 14.5 g cm⁻³
**SG**: P4mm, No. 99

a b c (Å): 2.793 2.793 4.297
angles (deg): 90.00 90.00 90.00
Fractional coordinates of all 3 atoms:
1 Mo 0.500 0.500 0.593
2 H 0.000 0.000 0.694
3 Pt 0.000 0.000 0.124



3) A plane-wave DFT calculation with GGA-PBE was carried out for a relaxed MoHPt crystal.

Computed properties:
**Calculated density**: 13.9 g cm⁻³
**SG**: Pm, No. 6

a b c (Å): 2.815 2.808 4.417
angles (deg): 90.00 90.23 90.00
Fractional coordinates of all 3 atoms:
1 Mo 0.208 0.000 0.853
2 H 0.710 0.000 0.138
3 Pt 0.705 0.500 0.420



4) A plane-wave DFT calculation with GGA-PBE was carried out for a relaxed MoHPt crystal.

Computed properties:
**Calculated density**: 14.5 g cm⁻³
**SG**: P4/nmm, No. 129

a b c (Å): 4.242 3.968 3.968
angles (deg): 90.00 90.00 90.00
Fractional coordinates of all 6 atoms:
1 H 0.430 0.250 0.750
2 H 0.570 0.750 0.250
3 Mo 0.500 0.750 0.750
4 Mo 0.500 0.250 0.250
5 Pt 0.013 0.750 0.250
6 Pt 0.987 0.250 0.750



Stability summary: most stable 2), least stable 3).



1) A plane-wave DFT calculation with GGA-PBE was carried out for a relaxed MoHPt crystal.

Computed properties:
**Calculated density**: 13.8 g cm⁻³
**SG**: Cm, No. 8

a b c (Å): 2.855 2.855 5.236
angles (deg): 89.82 105.96 120.03
Fractional coordinates of all 3 atoms:
1 Mo 0.509 0.719 0.394
2 H 0.706 0.320 0.190
3 Pt 0.465 0.195 0.827



2) A plane-wave DFT calculation with GGA-PBE was carried out for a relaxed MoHPt crystal.

Computed properties:
**Calculated density**: 14.4 g cm⁻³
**SG**: P3m1, No. 156

a b c (Å): 2.891 2.891 4.647
angles (deg): 90.00 90.00 120.00
Fractional coordinates of all 3 atoms:
1 Mo 0.333 0.667 0.561
2 H 0.667 0.333 0.763
3 Pt 0.000 0.000 0.087



3) A plane-wave DFT calculation with GGA-PBE was carried out for a relaxed MoHPt crystal.

Computed properties:
**Calculated density**: 13.8 g cm⁻³
**SG**: Cm, No. 8

a b c (Å): 5.092 3.127 4.611
angles (deg): 90.00 106.17 90.00
Fractional coordinates of all 6 atoms:
1 Mo 0.841 0.000 0.608
2 Mo 0.841 0.500 0.108
3 H 0.461 0.000 0.531
4 H 0.461 0.500 0.031
5 Pt 0.286 0.000 0.112
6 Pt 0.286 0.500 0.612



Stability summary: most stable 2), least stable 3).



1) A plane-wave DFT calculation with GGA-PBE was carried out for a relaxed MoHPt2 crystal.

Computed properties:
**Calculated density**: 15.6 g cm⁻³
**SG**: I-42d, No. 122

a b c (Å): 6.376 6.376 5.176
angles (deg): 51.98 51.98 90.00
Fractional coordinates of all 8 atoms:
1 H 0.500 0.500 0.000
2 H 0.250 0.750 0.500
3 Mo 0.000 0.000 0.000
4 Mo 0.750 0.250 0.500
5 Pt 0.523 0.125 0.250
6 Pt 0.227 0.625 0.250
7 Pt 0.375 0.477 0.750
8 Pt 0.875 0.773 0.750



2) A plane-wave DFT calculation with GGA-PBE was carried out for a relaxed MoHPt2 crystal.

Computed properties:
**Calculated density**: 14.3 g cm⁻³
**SG**: Fm-3m, No. 225

a b c (Å): 4.305 4.305 4.305
angles (deg): 60.00 60.00 60.00
Fractional coordinates of all 4 atoms:
1 H 0.000 0.000 0.000
2 Mo 0.500 0.500 0.500
3 Pt 0.250 0.250 0.250
4 Pt 0.750 0.750 0.750



Stability summary: most stable 1), least stable 2).



1) A plane-wave DFT calculation with GGA-PBE was carried out for a relaxed MoH2Pt2 crystal.

Computed properties:
**Calculated density**: 15.1 g cm⁻³
**SG**: I4/mmm, No. 139

a b c (Å): 2.840 2.840 6.933
angles (deg): 78.18 78.18 90.00
Fractional coordinates of all 5 atoms:
1 H 0.750 0.250 0.500
2 H 0.250 0.750 0.500
3 Mo 0.000 0.000 0.000
4 Pt 0.353 0.353 0.294
5 Pt 0.647 0.647 0.706



2) A plane-wave DFT calculation with GGA-PBE was carried out for a relaxed MoH2Pt2 crystal.

Computed properties:
**Calculated density**: 12.9 g cm⁻³
**SG**: P4/mbm, No. 127

a b c (Å): 6.846 6.846 2.679
angles (deg): 90.00 90.00 90.00
Fractional coordinates of all 10 atoms:
1 H 0.246 0.746 0.500
2 H 0.746 0.754 0.500
3 H 0.754 0.254 0.500
4 H 0.254 0.246 0.500
5 Mo 0.000 0.000 0.000
6 Mo 0.500 0.500 0.000
7 Pt 0.361 0.861 0.000
8 Pt 0.861 0.639 0.000
9 Pt 0.639 0.139 0.000
10 Pt 0.139 0.361 0.000



Stability summary: most stable 1), least stable 2).



1) A plane-wave DFT calculation with GGA-PBE was carried out for a relaxed MoHPt3 crystal.

Computed properties:
**Calculated density**: 17.0 g cm⁻³
**SG**: Pm-3m, No. 221

a b c (Å): 4.052 4.052 4.052
angles (deg): 90.00 90.00 90.00
Site moments in Bohr magnetons follow the coordinates.
Fractional coordinates of all 5 atoms:
1 H 0.000 0.000 0.000  0.00
2 Mo 0.500 0.500 0.500  2.11
3 Pt 0.000 0.500 0.000  0.19
4 Pt 0.000 0.000 0.500  0.19
5 Pt 0.500 0.000 0.000  0.24



2) A plane-wave DFT calculation with GGA-PBE was carried out for a relaxed MoHPt3 crystal.

Computed properties:
**Calculated density**: 10.0 g cm⁻³
**SG**: Pm-3m, No. 221

a b c (Å): 4.842 4.842 4.842
angles (deg): 90.00 90.00 90.00
Site moments in Bohr magnetons follow the coordinates.
Fractional coordinates of all 5 atoms:
1 H 0.500 0.500 0.500  0.34
2 Mo 0.000 0.000 0.000  0.06
3 Pt 0.000 0.500 0.000  0.01
4 Pt 0.000 0.000 0.500  0.01
5 Pt 0.500 0.000 0.000  0.04



Stability summary: most stable 1), least stable 2).



1) A plane-wave DFT calculation with GGA-PBE was carried out for a relaxed TaMoHPt2 crystal.

Computed properties:
**Calculated density**: 16.7 g cm⁻³
**SG**: P4/mmm, No. 123

a b c (Å): 3.950 3.950 4.248
angles (deg): 90.00 90.00 90.00
Fractional coordinates of all 5 atoms:
1 H 0.000 0.000 0.000
2 Mo 0.000 0.000 0.500
3 Pt 0.000 0.500 0.000
4 Pt 0.500 0.000 0.000
5 Ta 0.500 0.500 0.500



2) A plane-wave DFT calculation with GGA-PBE was carried out for a relaxed TaMoHPt2 crystal.

Computed properties:
**Calculated density**: 16.7 g cm⁻³
**SG**: P4/mmm, No. 123

a b c (Å): 3.925 3.925 4.315
angles (deg): 90.00 90.00 90.00
Fractional coordinates of all 5 atoms:
1 H 0.000 0.000 0.000
2 Mo 0.500 0.500 0.500
3 Pt 0.000 0.500 0.000
4 Pt 0.500 0.000 0.000
5 Ta 0.000 0.000 0.500



Stability summary: most stable 1), least stable 2).



1) A plane-wave DFT calculation with GGA-PBE was carried out for a relaxed TaMo2HPt crystal.

Computed properties:
**Calculated density**: 14.1 g cm⁻³
**SG**: P4/mmm, No. 123

a b c (Å): 3.995 3.995 4.194
angles (deg): 90.00 90.00 90.00
Fractional coordinates of all 5 atoms:
1 H 0.000 0.000 0.000
2 Mo 0.000 0.500 0.000
3 Mo 0.500 0.000 0.000
4 Pt 0.000 0.000 0.500
5 Ta 0.500 0.500 0.500



2) A plane-wave DFT calculation with GGA-PBE was carried out for a relaxed TaMo2HPt crystal.

Computed properties:
**Calculated density**: 14.2 g cm⁻³
**SG**: P4/mmm, No. 123

a b c (Å): 4.000 4.000 4.170
angles (deg): 90.00 90.00 90.00
Fractional coordinates of all 5 atoms:
1 H 0.000 0.000 0.000
2 Mo 0.000 0.500 0.000
3 Mo 0.500 0.000 0.000
4 Pt 0.500 0.500 0.500
5 Ta 0.000 0.000 0.500



Stability summary: most stable 2), least stable 1).



1) A plane-wave DFT calculation with GGA-PBE was carried out for a relaxed Ti2MoHPt crystal.

Computed properties:
**Calculated density**: 9.8 g cm⁻³
**SG**: P4/mmm, No. 123

a b c (Å): 4.326 4.326 3.498
angles (deg): 90.00 90.00 90.00
Fractional coordinates of all 5 atoms:
1 H 0.000 0.000 0.000
2 Mo 0.000 0.000 0.500
3 Pt 0.500 0.500 0.500
4 Ti 0.000 0.500 0.000
5 Ti 0.500 0.000 0.000



2) A plane-wave DFT calculation with GGA-PBE was carried out for a relaxed Ti2MoHPt crystal.

Computed properties:
**Calculated density**: 9.8 g cm⁻³
**SG**: P4/mmm, No. 123

a b c (Å): 4.324 4.324 3.511
angles (deg): 90.00 90.00 90.00
Fractional coordinates of all 5 atoms:
1 H 0.000 0.000 0.000
2 Mo 0.500 0.500 0.500
3 Pt 0.000 0.000 0.500
4 Ti 0.000 0.500 0.000
5 Ti 0.500 0.000 0.000



Stability summary: most stable 1), least stable 2).



1) A plane-wave DFT calculation with GGA-PBE was carried out for a relaxed Mo2HPtW crystal.

Computed properties:
**Calculated density**: 14.6 g cm⁻³
**SG**: P4/mmm, No. 123

a b c (Å): 4.027 4.027 3.998
angles (deg): 90.00 90.00 90.00
Fractional coordinates of all 5 atoms:
1 H 0.000 0.000 0.000
2 Mo 0.000 0.500 0.000
3 Mo 0.500 0.000 0.000
4 W 0.500 0.500 0.500
5 Pt 0.000 0.000 0.500



2) A plane-wave DFT calculation with GGA-PBE was carried out for a relaxed Mo2HPtW crystal.

Computed properties:
**Calculated density**: 14.7 g cm⁻³
**SG**: P4/mmm, No. 123

a b c (Å): 4.000 4.000 4.044
angles (deg): 90.00 90.00 90.00
Fractional coordinates of all 5 atoms:
1 H 0.000 0.000 0.000
2 Mo 0.000 0.500 0.000
3 Mo 0.500 0.000 0.000
4 W 0.000 0.000 0.500
5 Pt 0.500 0.500 0.500



Stability summary: most stable 2), least stable 1).